Below is a geometry-optimized Pr8IrOs3Br4 structure, with properties calculated at the PBE-GGA level.

abc: 8.349 9.212 8.348
angles: 116.97 120.01 90.00
Element x y z (fractional)
Pr1 0.766 0.304 0.531
Pr2 0.733 0.698 0.466
Br1 0.500 0.000 0.500
Pr3 0.267 0.302 0.534
Br2 0.500 0.000 0.000
Br3 0.000 0.000 0.000
Os1 0.000 0.500 0.500
Pr4 0.728 0.696 0.962
Os2 0.500 0.500 0.500
Ir1 0.000 0.500 0.000
Pr5 0.234 0.696 0.469
Pr6 0.766 0.304 0.038
Br4 0.000 0.000 0.500
Pr7 0.272 0.304 0.038
Pr8 0.234 0.696 0.962
Os3 0.500 0.500 0.000

Properties
The formation energy without anion corrections is -70.95 kJ/mol of atoms. The calculation puts the uncorrected energy at -6.203 eV per atom. The magnetic moment is 0.00 μB per cell.


Below is a geometry-optimized HgAs3C structure, with properties calculated at the PBE-GGA level.

abc: 5.222 5.222 5.222
angles: 90.00 90.00 90.00
Element x y z (fractional)
As1 0.500 0.000 0.000
As2 0.000 0.000 0.500
As3 0.000 0.500 0.000
Hg1 0.000 0.000 0.000
C1 0.500 0.500 0.500

Properties
As for the formation energy: 2.409 eV/atom. The calculation puts the polymorph energy (0 for the lowest one) at 1335.6 meV per atom. The calculation puts the uncorrected energy at -2.286 eV per atom. The magnetic moment is 0.05 μB per cell.


Below is a geometry-optimized TcAgW structure, with properties calculated at the PBE-GGA level.

abc: 2.789 4.020 8.682
angles: 90.00 91.48 90.00
Element x y z (fractional)
Tc1 0.907 0.500 0.729
W1 0.924 0.500 0.028
Tc2 0.421 0.000 0.864
W2 0.366 0.000 0.184
Ag1 0.878 0.500 0.371
Ag2 0.388 0.000 0.538

Properties
As for the formation energy: 0.357 eV/atom. The calculation puts the polymorph energy (0 for the lowest one) at 0.0 meV per atom. The calculation puts the uncorrected energy at -8.367 eV per atom. The magnetic moment is 0.00 μB per cell.